LiSiMo4: relaxed, PBE-GGA.

Calculated density   6.99 g/cm3
Raw formation energy   551 meV per atom

The structure in CIF format:
```
data_LiSiMo4
_space_group_name_H-M_alt 'F -4 3 m'
_space_group_IT_number 216
_space_group_name_Hall 'F -4 2 3'
_cell_length_a 7.356
_cell_length_b 7.356
_cell_length_c 7.356
_cell_angle_alpha 90.00
_cell_angle_beta 90.00
_cell_angle_gamma 90.00
loop_
_atom_site_label
_atom_site_fract_x
_atom_site_fract_y
_atom_site_fract_z
Li1 0.000 0.000 0.000
Si1 0.250 0.250 0.250
Mo1 0.126 0.126 0.626
```

***

PuBe2H8Pd: relaxed, PBE-GGA.

Total energy   -4.55 eV/atom
Calculated density   5.59 g/cm3

The structure in CIF format:
```
data_PuBe2H8Pd
_space_group_name_H-M_alt 'P -3 m 1'
_space_group_IT_number 164
_space_group_name_Hall '-P 3 2"'
_cell_length_a 4.4450
_cell_length_b 4.4450
_cell_length_c 6.5360
_cell_angle_alpha 90.00
_cell_angle_beta 90.00
_cell_angle_gamma 120.00
loop_
_atom_site_label
_atom_site_fract_x
_atom_site_fract_y
_atom_site_fract_z
Pu1 0.0000 0.0000 0.0000
Be1 0.3333 0.6667 0.2270
H1 0.1550 0.3100 0.2907
H2 0.3333 0.6667 0.9965
Pd1 0.0000 0.0000 0.5000
```

***

Tl2CdHg6Bi: relaxed, PBE-GGA.

Calculated density   11.12 g/cm3
E_form   0.03 eV/atom

The structure in CIF format:
```
data_Tl2CdHg6Bi
_space_group_name_H-M_alt 'P -1'
_space_group_IT_number 2
_space_group_name_Hall '-P 1'
_cell_length_a 6.210
_cell_length_b 6.586
_cell_length_c 7.164
_cell_angle_alpha 89.34
_cell_angle_beta 89.66
_cell_angle_gamma 80.22
loop_
_atom_site_label
_atom_site_fract_x
_atom_site_fract_y
_atom_site_fract_z
Tl1 0.065 0.417 0.249
Cd1 0.000 0.000 0.000
Hg1 0.215 0.934 0.389
Hg2 0.297 0.175 0.750
Hg3 0.423 0.715 0.912
Bi1 0.500 0.500 0.500
```

***

Zr2ScCr: relaxed, PBE-GGA.

Calculated density   5.57 g/cm3
Offset from the most stable computed form   144 meV per atom
E_form   0.29 eV/atom

The structure in CIF format:
```
data_Zr2ScCr
_space_group_name_H-M_alt 'R -3 m'
_space_group_IT_number 166
_space_group_name_Hall '-R 3 2"'
_cell_length_a 3.2305
_cell_length_b 3.2305
_cell_length_c 27.6275
_cell_angle_alpha 90.00
_cell_angle_beta 90.00
_cell_angle_gamma 120.00
loop_
_atom_site_label
_atom_site_fract_x
_atom_site_fract_y
_atom_site_fract_z
Zr1 0.0000 0.0000 0.2354
Sc1 0.0000 0.0000 0.0000
Cr1 0.0000 0.0000 0.5000
```

***

Number 1: total moment 0.00 μB per cell. Number 2: total moment 4.99 μB per cell. Number 3: total moment 0.00 μB per cell. Number 4: total moment 0.01 μB per cell.